This record from Alexandria describes a geometry-optimized K3ZnFe2F9 structure. The functional is PBE with a Hubbard U.

abc: 5.9401 5.9401 7.0935
angles: 90.00 90.00 120.00
Last column: nearest neighbours and their distance in Å.
Fractional positions:
1 K 0.0000 0.0000 0.0000  12 F 2.90-2.97
2 K 0.3333 0.6667 0.6657  12 F 2.93-2.97
3 K 0.6667 0.3333 0.3343  12 F 2.93-2.97
4 Zn 0.0000 0.0000 0.5000  6 F 2.07
5 Fe 0.3333 0.6667 0.1676  6 F 2.09-2.10
6 Fe 0.6667 0.3333 0.8324  6 F 2.09-2.10
7 F 0.0000 0.5000 0.0000  2 Fe 2.09
8 F 0.1643 0.3285 0.3326  1 Zn 2.07, 1 Fe 2.10
9 F 0.1643 0.8357 0.3326  1 Zn 2.07, 1 Fe 2.10
10 F 0.3285 0.1643 0.6674  1 Zn 2.07, 1 Fe 2.10
11 F 0.5000 0.0000 0.0000  2 Fe 2.09
12 F 0.5000 0.5000 0.0000  2 Fe 2.09
13 F 0.6715 0.8357 0.3326  1 Zn 2.07, 1 Fe 2.10
14 F 0.8357 0.1643 0.6674  1 Zn 2.07, 1 Fe 2.10
15 F 0.8357 0.6715 0.6674  1 Zn 2.07, 1 Fe 2.10

Properties
For the density of states at the Fermi level, the calculation gives 0.0 states/eV/f.u. The total energy is -4.79 eV/atom. The magnetic moment comes out at 8.00 μB per formula unit. Its space group is P-3m1, No. 164.